Record 1
A plane-wave DFT calculation with PBE was carried out for a relaxed structure of Eu2ZnNi.

a b c (Å): 3.615 3.615 7.272
angles (deg): 90.00 90.00 90.00
Sites, in units of the cell vectors:
Eu1 0.000 0.000 0.232
Eu2 0.000 0.000 0.768
Zn1 0.500 0.500 0.500
Ni1 0.500 0.500 0.000

The value obtained for the energy of formation from the pure elements is -0.143 eV per atom. The space-group type is No. 123.

Record 2
A plane-wave DFT calculation with PBE was carried out for a relaxed structure of GaNiSb3.

a b c (Å): 5.038 5.038 5.038
angles (deg): 90.00 90.00 90.00
Sites, in units of the cell vectors:
Ga1 0.000 0.000 0.000
Ni1 0.500 0.500 0.500
Sb1 0.000 0.500 0.500
Sb2 0.500 0.000 0.500
Sb3 0.500 0.500 0.000

Its energy above the most stable polymorph in this dataset is 0.000 eV per atom. The space-group type is No. 221.

Record 3
A plane-wave DFT calculation with PBE was carried out for a relaxed structure of Ho3Ni2Rh.

a b c (Å): 11.191 3.989 11.233
angles (deg): 90.00 90.00 90.00
Sites, in units of the cell vectors:
Ho1 0.053 0.250 0.123
Ho2 0.120 0.750 0.560
Ho3 0.209 0.250 0.806
Ho4 0.291 0.750 0.306
Ho5 0.380 0.250 0.060
Ho6 0.447 0.750 0.623
Ho7 0.553 0.250 0.377
Ho8 0.620 0.750 0.940
Ho9 0.709 0.250 0.694
Ho10 0.791 0.750 0.194
Ho11 0.880 0.250 0.440
Ho12 0.947 0.750 0.877
Ni1 0.011 0.750 0.304
Ni2 0.183 0.750 0.001
Ni3 0.317 0.250 0.501
Ni4 0.489 0.250 0.804
Ni5 0.511 0.750 0.196
Ni6 0.683 0.750 0.499
Ni7 0.817 0.250 0.999
Ni8 0.989 0.250 0.696
Rh1 0.128 0.250 0.373
Rh2 0.372 0.750 0.873
Rh3 0.628 0.250 0.127
Rh4 0.872 0.750 0.627

The value obtained for the energy of formation from the pure elements is -0.512 eV per atom. The space-group type is No. 62.

Record 4
A plane-wave DFT calculation with PBE was carried out for a relaxed structure of Tb5Y2HoSc.

a b c (Å): 10.335 10.335 10.374
angles (deg): 90.00 90.00 148.85
Sites, in units of the cell vectors:
Tb1 0.017 0.983 0.500
Tb2 0.123 0.877 0.779
Tb3 0.200 0.800 0.464
Tb4 0.224 0.776 0.079
Tb5 0.482 0.518 0.775
Tb6 0.518 0.482 0.275
Tb7 0.776 0.224 0.579
Tb8 0.800 0.200 0.964
Tb9 0.877 0.123 0.279
Tb10 0.983 0.017 0.000
Y1 0.386 0.614 0.495
Y2 0.389 0.611 0.071
Y3 0.611 0.389 0.571
Y4 0.614 0.386 0.995
Ho1 0.091 0.909 0.218
Ho2 0.909 0.091 0.718
Sc1 0.304 0.696 0.774
Sc2 0.696 0.304 0.274

The value obtained for the energy of formation from the pure elements is 0.163 eV per atom. The space-group type is No. 36.

Repeat the first record exactly.
A plane-wave DFT calculation with PBE was carried out for a relaxed structure of Eu2ZnNi.

a b c (Å): 3.615 3.615 7.272
angles (deg): 90.00 90.00 90.00
Sites, in units of the cell vectors:
Eu1 0.000 0.000 0.232
Eu2 0.000 0.000 0.768
Zn1 0.500 0.500 0.500
Ni1 0.500 0.500 0.000

The value obtained for the energy of formation from the pure elements is -0.143 eV per atom. The space-group type is No. 123.